No. 1
Here is a geometry-optimized KTl2AsBr6 structure from Alexandria via LeMat-Bulk. Energies are from GGA-PBE.

Structure (POSCAR):
```
KTl2AsBr6
1.0
8.0796 0.0073 0.0034
4.0461 6.9924 0.0025
4.0443 2.3341 6.6938
Tl K Br As
2 1 6 1
Cartesian
8.0877 4.6649 2.6810
4.0446 2.3360 6.1584
12.1254 6.9996 3.6938
5.9494 4.9169 5.2726
3.2451 4.4201 1.6792
8.9371 2.6886 5.2761
9.3711 6.3896 5.2677
2.6354 0.6019 1.6837
6.2454 1.9862 1.6838
4.0417 2.3326 0.1963
```

E_form (uncorrected): -0.85 eV per atom
DOS(E_F): 0.0 states/eV per cell
total magnetization: 0.00 μB per formula unit
space-group type: No. 1
total energy: -29.0 eV per cell

No. 2
Here is a geometry-optimized CaNbPbO2 structure from Alexandria via LeMat-Bulk. Energies are from GGA-PBE.

Structure (POSCAR):
```
CaNbPbO2
1.0
-4.5457 -0.0439 -0.0631
0.0894 -4.2821 -3.4691
-0.0214 -2.8621 3.5323
Ca Nb Pb O
1 1 1 2
Cartesian
-2.2388 -3.5940 0.0001
0.0447 -2.1410 -1.7345
0.0000 0.0000 0.0000
-2.2729 -0.0219 -0.0315
-0.0107 -1.4311 1.7662
```

E_form (uncorrected): 0.45 eV per atom
DOS(E_F): 4.1 states/eV per cell
total magnetization: 3.98 μB per formula unit
space-group type: No. 123
total energy: -23.4 eV per cell

No. 3
Here is a geometry-optimized Tm2PaPd2S6 structure from Alexandria via LeMat-Bulk. Energies are from GGA-PBE.

Structure (POSCAR):
```
Tm2PaPd2S6
1.0
-1.3333 -3.2556 -5.5206
3.9057 -2.6801 4.5185
-4.9905 -2.6278 2.7550
S Tm Pa Pd
6 2 1 2
Cartesian
-2.8911 -3.9512 1.7353
-1.1437 -3.7609 5.0822
-1.2744 -4.8026 -3.3294
-1.6865 -1.7388 -1.1534
-0.7316 -6.8247 2.9062
0.4730 -4.6124 0.0175
-0.3355 -4.1856 2.5494
-2.0826 -4.3779 -0.7966
0.0000 0.0000 0.0000
-2.8294 -5.4989 3.9261
0.4113 -3.0647 -2.1733
```

E_form (uncorrected): -1.33 eV per atom
DOS(E_F): 8.6 states/eV per cell
total magnetization: 0.00 μB per formula unit
space-group type: No. 162
total energy: -68.2 eV per cell

No. 4
Here is a geometry-optimized PuVN2 structure from Alexandria via LeMat-Bulk. Energies are from GGA-PBE.

Structure (POSCAR):
```
PuVN2
1.0
3.2186 0.0000 0.0000
0.0000 5.4720 0.0000
0.0000 0.0000 10.4959
Pu V N
4 4 8
Cartesian
0.8047 2.2946 6.7413
2.4140 0.4414 1.4933
2.4140 3.1774 3.7546
0.8047 5.0305 9.0026
0.8047 3.1676 1.0426
2.4140 2.3043 9.4533
0.8047 0.4317 4.2053
2.4140 5.0403 6.2906
2.4140 1.2655 5.1337
0.8047 4.2065 5.3622
2.4140 0.8892 7.9124
2.4140 4.0015 0.1142
0.8047 1.4705 10.3817
0.8047 4.5828 2.5835
0.8047 1.8468 2.6644
2.4140 3.6252 7.8315
```

E_form (uncorrected): -1.23 eV per atom
DOS(E_F): 30.0 states/eV per cell
total magnetization: 4.31 μB per formula unit
space-group type: No. 62
total energy: -180.1 eV per cell

No. 5
Here is a geometry-optimized MgTe2H structure from Alexandria via LeMat-Bulk. Energies are from GGA-PBE.

Structure (POSCAR):
```
MgTe2H
1.0
-5.0311 -0.3301 5.0765
-1.2864 -2.2334 6.6745
-1.6700 2.2436 6.5855
H Te Mg
1 2 1
Cartesian
0.0000 0.0000 0.0000
-7.2173 -0.2891 16.5683
-0.7702 -0.0309 1.7682
-3.9938 -0.1600 9.1682
```

DOS(E_F): 5.8 states/eV per cell
total magnetization: 0.00 μB per formula unit
excess energy over the best structure of this formula in the dataset: 0 meV/atom
space-group type: No. 166
total energy: -11.8 eV per cell

No. 6
Here is a geometry-optimized MgTa2P structure from Alexandria via LeMat-Bulk. Energies are from GGA-PBE.

Structure (POSCAR):
```
MgTa2P
1.0
0.9654 2.6506 3.5387
-2.7662 0.0907 3.5805
1.3100 -1.8457 3.9188
P Ta Mg
1 2 1
Cartesian
-0.2454 0.4478 5.5190
-0.3681 0.6717 8.2785
-0.1227 0.2239 2.7595
0.0000 0.0000 0.0000
```

DFT formation energy: 0.384 eV/atom
DOS(E_F): 6.6 states/eV per cell
total magnetization: 0.00 μB per formula unit
excess energy over the best structure of this formula in the dataset: 483 meV/atom
space-group type: No. 225
total energy: -29.2 eV per cell

No. 7
Here is a geometry-optimized Rb2TbBeO4 structure from Alexandria via LeMat-Bulk. Energies are from GGA-PBE.

Structure (POSCAR):
```
Rb2TbBeO4
1.0
5.1197 0.0000 0.0000
2.5598 6.0359 0.0000
2.5598 0.0000 11.6586
O Rb Tb Be
8 4 2 2
Cartesian
8.6316 5.0123 10.7170
4.7918 1.9944 6.7709
4.1676 1.0235 10.7170
4.1676 5.0123 0.9416
4.7918 4.0415 4.8877
8.0074 4.0415 6.7709
3.5119 1.0235 0.9416
2.8877 1.9944 4.8877
6.3996 3.0179 1.6375
2.5598 0.0000 7.4668
6.3996 3.0179 10.0211
5.1197 0.0000 4.1918
0.0000 0.0000 0.0000
6.3996 3.0179 5.8293
3.8398 3.0179 5.8293
2.5598 0.0000 0.0000
```

E_form (uncorrected): -1.84 eV per atom
DOS(E_F): 11.1 states/eV per cell
total magnetization: 1.02 μB per formula unit
space-group type: No. 70
total energy: -89.7 eV per cell

No. 8
Here is a geometry-optimized K2Sb2I structure from Alexandria via LeMat-Bulk. Energies are from GGA-PBE.

Structure (POSCAR):
```
K2Sb2I
1.0
9.5971 0.0000 0.0000
0.0000 9.5971 0.0000
0.0000 0.0000 4.9454
Sb I K
4 2 4
Cartesian
0.9223 5.7209 2.4727
5.7209 8.6748 2.4727
8.6748 3.8762 2.4727
3.8762 0.9223 2.4727
0.0000 0.0000 0.0000
4.7986 4.7986 0.0000
2.9356 7.7342 0.0000
7.7342 6.6615 0.0000
1.8629 2.9356 0.0000
6.6615 1.8629 0.0000
```

E_form (uncorrected): -0.47 eV per atom
DOS(E_F): 6.8 states/eV per cell
total magnetization: 0.00 μB per formula unit
excess energy over the best structure of this formula in the dataset: 19 meV/atom
space-group type: No. 127
total energy: -28.7 eV per cell